(1)
This record from the Alexandria database describes a relaxed Tb2SmZn3 crystal. The functional is PBE-GGA.

Cell lengths 3.602, 3.602, 10.810 Å; angles 90.00, 90.00, 90.00 degrees
Element x y z (fractional)
Tb 0.500 0.500 0.835
Tb 0.500 0.500 0.165
Sm 0.500 0.500 0.500
Zn 0.000 0.000 0.000
Zn 0.000 0.000 0.673
Zn 0.000 0.000 0.327

Summary:
SG: P4/mmm, No. 123
Electronic total energy in eV per atom: -3.297

=====

(2)
This record from the Alexandria database describes a relaxed Tb2SmZn crystal. The functional is PBE-GGA.

Cell lengths 3.594, 3.594, 10.600 Å; angles 80.24, 80.24, 60.00 degrees
Element x y z (fractional)
Zn 0.000 0.000 0.000
Tb 0.261 0.261 0.216
Tb 0.739 0.739 0.784
Sm 0.500 0.500 0.500

Summary:
SG: R-3m, No. 166
Electronic total energy in eV per atom: -3.878

=====

(3)
This record from the Alexandria database describes a relaxed TbSm2Zn3 crystal. The functional is PBE-GGA.

Cell lengths 5.122, 5.122, 6.262 Å; angles 90.00, 90.00, 120.00 degrees
Element x y z (fractional)
Tb 0.000 0.000 0.000
Sm 0.667 0.333 0.330
Sm 0.333 0.667 0.670
Zn 0.000 0.000 0.500
Zn 0.667 0.333 0.835
Zn 0.333 0.667 0.165

Summary:
SG: P-3m1, No. 164
Electronic total energy in eV per atom: -3.306

=====

(4)
This record from the Alexandria database describes a relaxed Tb2Sm2Zn crystal. The functional is PBE-GGA.

Cell lengths 3.595, 3.595, 11.558 Å; angles 98.95, 98.95, 90.00 degrees
Element x y z (fractional)
Tb 0.578 0.578 0.156
Tb 0.422 0.422 0.844
Sm 0.807 0.807 0.614
Sm 0.193 0.193 0.386
Zn 0.000 0.000 0.000

Summary:
SG: I4/mmm, No. 139
Electronic total energy in eV per atom: -4.122

=====

(5)
This record from the Alexandria database describes a relaxed TbSm7Zn4 crystal. The functional is PBE-GGA.

Cell lengths 5.612, 8.974, 7.589 Å; angles 73.94, 68.30, 71.78 degrees
Element x y z (fractional)
Tb 0.000 0.000 0.000
Sm 0.793 0.879 0.535
Sm 0.207 0.121 0.465
Sm 0.069 0.601 0.261
Sm 0.931 0.399 0.739
Sm 0.281 0.666 0.772
Sm 0.500 0.000 0.000
Sm 0.719 0.334 0.228
Zn 0.545 0.257 0.654
Zn 0.455 0.743 0.346
Zn 0.678 0.663 0.982
Zn 0.322 0.337 0.018

Summary:
SG: C2/m, No. 12
Electronic total energy in eV per atom: -3.573

=====

(6)
This record from the Alexandria database describes a relaxed TbSm3Zn crystal. The functional is PBE-GGA.

Cell lengths 7.438, 7.438, 7.538 Å; angles 104.93, 116.39, 106.77 degrees
Element x y z (fractional)
Tb 0.699 0.070 0.769
Tb 0.301 0.930 0.231
Sm 0.838 0.024 0.248
Sm 0.224 0.410 0.248
Sm 0.776 0.590 0.752
Sm 0.732 0.450 0.181
Sm 0.162 0.976 0.752
Sm 0.268 0.550 0.819
Zn 0.633 0.761 0.394
Zn 0.367 0.239 0.606

Summary:
SG: C2/m, No. 12
Electronic total energy in eV per atom: -3.948

=====

(7)
This record from the Alexandria database describes a relaxed TbSm3Zn4 crystal. The functional is PBE-GGA.

Cell lengths 5.124, 5.124, 8.889 Å; angles 73.25, 73.25, 60.00 degrees
Element x y z (fractional)
Zn 0.876 0.876 0.372
Zn 0.374 0.374 0.878
Zn 0.124 0.124 0.628
Zn 0.626 0.626 0.122
Tb 0.000 0.000 0.000
Sm 0.251 0.251 0.248
Sm 0.749 0.749 0.752
Sm 0.500 0.500 0.500

Summary:
SG: R-3m, No. 166
Electronic total energy in eV per atom: -3.309

=====

(8)
This record from the Alexandria database describes a relaxed Tb4Sm5Zn crystal. The functional is PBE-GGA.

Cell lengths 3.612, 3.612, 23.909 Å; angles 90.00, 90.00, 90.00 degrees
Element x y z (fractional)
Tb 0.000 0.000 0.183
Tb 0.000 0.000 0.395
Tb 0.000 0.000 0.605
Tb 0.000 0.000 0.817
Sm 0.500 0.500 0.076
Sm 0.500 0.500 0.288
Sm 0.500 0.500 0.500
Sm 0.500 0.500 0.712
Sm 0.500 0.500 0.924
Zn 0.000 0.000 0.000

Summary:
SG: P4/mmm, No. 123
Electronic total energy in eV per atom: -4.391

=====

(9)
This record from the Alexandria database describes a relaxed Tb4Sm3Zn crystal. The functional is PBE-GGA.

Cell lengths 3.588, 3.588, 18.910 Å; angles 90.00, 90.00, 90.00 degrees
Element x y z (fractional)
Zn 0.500 0.500 0.000
Tb 0.000 0.000 0.906
Tb 0.000 0.000 0.094
Tb 0.000 0.000 0.365
Tb 0.000 0.000 0.635
Sm 0.500 0.500 0.231
Sm 0.500 0.500 0.500
Sm 0.500 0.500 0.769

Summary:
SG: P4/mmm, No. 123
Electronic total energy in eV per atom: -4.318

=====

(10)
This record from the Alexandria database describes a relaxed TbSm4Zn crystal. The functional is PBE-GGA.

Cell lengths 6.339, 9.159, 8.173 Å; angles 114.41, 100.10, 112.29 degrees
Element x y z (fractional)
Tb 0.344 0.594 0.187
Tb 0.656 0.406 0.813
Sm 0.041 0.165 0.775
Sm 0.764 0.714 0.635
Sm 0.235 0.610 0.775
Sm 0.371 0.921 0.635
Sm 0.629 0.079 0.365
Sm 0.765 0.390 0.225
Sm 0.236 0.286 0.365
Sm 0.959 0.835 0.225
Zn 0.250 0.000 0.001
Zn 0.750 0.000 0.999

Summary:
SG: C2/c, No. 15
Electronic total energy in eV per atom: -4.127

=====

(11)
This record from the Alexandria database describes a relaxed TbSmZn2 crystal. The functional is PBE-GGA.

Cell lengths 3.637, 3.637, 9.281 Å; angles 78.70, 78.70, 60.00 degrees
Element x y z (fractional)
Zn 0.748 0.748 0.755
Zn 0.252 0.252 0.245
Tb 0.000 0.000 0.000
Sm 0.500 0.500 0.500

Summary:
SG: R-3m, No. 166
Electronic total energy in eV per atom: -3.080

=====

(12)
This record from the Alexandria database describes a relaxed TbSm5Zn6 crystal. The functional is PBE-GGA.

Cell lengths 5.125, 7.273, 8.116 Å; angles 90.00, 71.59, 90.00 degrees
Element x y z (fractional)
Zn 0.835 0.752 0.330
Zn 0.835 0.248 0.330
Zn 0.500 0.246 0.000
Zn 0.500 0.754 0.000
Zn 0.165 0.752 0.670
Zn 0.165 0.248 0.670
Tb 0.000 0.000 0.000
Sm 0.667 0.500 0.665
Sm 0.334 0.000 0.332
Sm 0.000 0.500 0.000
Sm 0.666 0.000 0.668
Sm 0.333 0.500 0.335

Summary:
SG: Cmmm, No. 65
Electronic total energy in eV per atom: -3.310

=====

| no. | V (Å³/f.u.) |
| --- | --- |
| 1 | 140 |
| 2 | 116 |
| 3 | 142 |
| 4 | 146 |
| 5 | 332 |
| 6 | 160 |
| 7 | 191 |
| 8 | 312 |
| 9 | 243 |
| 10 | 184 |
| 11 | 104 |
| 12 | 287 |